Density functional theory data (PBE-GGA) for crystalline ReNiTe6 at its relaxed geometry.

* formation energy (no corrections): 0.0195 eV/atom

```
data_ReNiTe6
_chemical_formula_sum 'Re1 Ni1 Te6'
_symmetry_space_group_name_H-M 'P 1'
_symmetry_Int_Tables_number 1
_symmetry_space_group_name_Hall 'P 1'
_cell_length_a 6.5802
_cell_length_b 6.6150
_cell_length_c 6.7357
_cell_angle_alpha 58.69
_cell_angle_beta 59.73
_cell_angle_gamma 59.68
loop_
_atom_site_label
_atom_site_type_symbol
_atom_site_fract_x
_atom_site_fract_y
_atom_site_fract_z
Te1 Te 0.9446 0.5592 0.2668
Te2 Te 0.4268 0.7579 0.7432
Te3 Te 0.2713 0.9407 0.2207
Te4 Te 0.0554 0.4408 0.7332
Te5 Te 0.5732 0.2421 0.2568
Te6 Te 0.7287 0.0593 0.7793
Re1 Re 0.5000 0.5000 0.5000
Ni1 Ni 0.0000 0.0000 0.0000
```